First-principles (PBE-GGA) data for a relaxed structure of KNaNiCl4, as listed in Alexandria via LeMat-Bulk.

Calculated values
Raw formation energy = -1263 meV per atom
Calculated total energy = -3.49 eV per atom
Calculated volume = 27.21 Å³/atom
Density of states at the Fermi level = 0.037 states/eV per atom

```
data_KNaNiCl4
_cell_length_a 6.261
_cell_length_b 7.174
_cell_length_c 8.820
_cell_angle_alpha 90.00
_cell_angle_beta 105.90
_cell_angle_gamma 90.00
_symmetry_space_group_name_H-M 'P 1 21/m 1'
_symmetry_Int_Tables_number 11
loop_
_symmetry_equiv_pos_as_xyz
'x,y,z'
'-x,-y,-z'
'-x,y+1/2,-z'
'x,-y+1/2,z'
loop_
_atom_site_label
_atom_site_type_symbol
_atom_site_fract_x
_atom_site_fract_y
_atom_site_fract_z
_atom_site_occupancy
K1 K 0.236 0.250 0.056 1
Na1 Na 0.161 0.250 0.517 1
Ni1 Ni 0.252 0.750 0.312 1
Cl1 Cl 0.002 0.514 0.277 1
Cl2 Cl 0.346 0.750 0.086 1
Cl3 Cl 0.435 0.750 0.567 1
```